1.
The following is a DFT calculation (PBE-GGA) of a geometry-optimized ErUTe6 structure.

Cell and atoms, written as CIF:
```
data_ErUTe6
_symmetry_space_group_name_H-M 'A m m 2'
_symmetry_Int_Tables_number 38
_symmetry_space_group_name_Hall 'A 2 -2'
_cell_length_a 4.374
_cell_length_b 4.359
_cell_length_c 26.403
_cell_angle_alpha 90.00
_cell_angle_beta 90.00
_cell_angle_gamma 90.00
loop_
_atom_site_label
_atom_site_type_symbol
_atom_site_fract_x
_atom_site_fract_y
_atom_site_fract_z
_atom_site_occupancy
Er1 Er 0.000 0.000 0.000 1
U1 U 0.500 0.000 0.658 1
Te1 Te 0.000 0.000 0.122 1
Te2 Te 0.000 0.000 0.408 1
Te3 Te 0.000 0.000 0.747 1
Te4 Te 0.500 0.000 0.247 1
Te5 Te 0.500 0.000 0.536 1
Te6 Te 0.500 0.000 0.908 1
```

Computed properties:
Formation energy without anion corrections ... -0.7058 eV/atom

2.
The following is a DFT calculation (PBE-GGA) of a geometry-optimized Pt2RhW structure.

Cell and atoms, written as CIF:
```
data_Pt2RhW
_symmetry_space_group_name_H-M 'I 4/m m m'
_symmetry_Int_Tables_number 139
_symmetry_space_group_name_Hall '-I 4 2'
_cell_length_a 3.895
_cell_length_b 3.895
_cell_length_c 8.007
_cell_angle_alpha 90.00
_cell_angle_beta 90.00
_cell_angle_gamma 90.00
loop_
_atom_site_label
_atom_site_type_symbol
_atom_site_fract_x
_atom_site_fract_y
_atom_site_fract_z
_atom_site_occupancy
Pt1 Pt 0.000 0.500 0.250 1
Rh1 Rh 0.000 0.000 0.000 1
W1 W 0.000 0.000 0.500 1
```

Computed properties:
DFT formation energy ... -0.25 eV per atom
Energy relative to the lowest polymorph listed for this composition ... 51 meV per atom

3.
The following is a DFT calculation (PBE-GGA) of a geometry-optimized SbIF3 structure.

Cell and atoms, written as CIF:
```
data_SbIF3
_symmetry_space_group_name_H-M 'P 1'
_symmetry_Int_Tables_number 1
_symmetry_space_group_name_Hall 'P 1'
_cell_length_a 5.566
_cell_length_b 6.584
_cell_length_c 7.567
_cell_angle_alpha 98.01
_cell_angle_beta 90.27
_cell_angle_gamma 90.02
loop_
_atom_site_label
_atom_site_type_symbol
_atom_site_fract_x
_atom_site_fract_y
_atom_site_fract_z
_atom_site_occupancy
Sb1 Sb 0.000 0.000 0.000 1
Sb2 Sb 0.500 0.499 0.944 1
I1 I 0.031 0.312 0.460 1
I2 I 0.531 0.187 0.484 1
F1 F 0.198 0.237 0.935 1
F2 F 0.301 0.831 0.942 1
F3 F 0.405 0.558 0.191 1
F4 F 0.698 0.262 0.007 1
F5 F 0.801 0.669 0.005 1
F6 F 0.904 0.938 0.754 1
```

Computed properties:
Formation energy without anion corrections ... -1.8568 eV/atom
Energy relative to the lowest polymorph listed for this composition ... 0 meV per atom

4.
The following is a DFT calculation (PBE-GGA) of a geometry-optimized K4Hg2As structure.

Cell and atoms, written as CIF:
```
data_K4Hg2As
_symmetry_space_group_name_H-M 'I 4/m m m'
_symmetry_Int_Tables_number 139
_symmetry_space_group_name_Hall '-I 4 2'
_cell_length_a 6.504
_cell_length_b 6.504
_cell_length_c 16.682
_cell_angle_alpha 90.00
_cell_angle_beta 90.00
_cell_angle_gamma 90.00
loop_
_atom_site_label
_atom_site_type_symbol
_atom_site_fract_x
_atom_site_fract_y
_atom_site_fract_z
_atom_site_occupancy
K1 K 0.000 0.000 0.188 1
K2 K 0.000 0.500 0.000 1
Hg1 Hg 0.000 0.000 0.404 1
As1 As 0.000 0.000 0.000 1
```

Computed properties:
DFT formation energy ... -0.19 eV per atom

5.
The following is a DFT calculation (PBE-GGA) of a geometry-optimized Na3Sc3ZnTe8 structure.

Cell and atoms, written as CIF:
```
data_Na3Sc3ZnTe8
_symmetry_space_group_name_H-M 'C 1 2/m 1'
_symmetry_Int_Tables_number 12
_symmetry_space_group_name_Hall '-C 2y'
_cell_length_a 14.145
_cell_length_b 8.315
_cell_length_c 9.062
_cell_angle_alpha 90.00
_cell_angle_beta 121.17
_cell_angle_gamma 90.00
loop_
_atom_site_label
_atom_site_type_symbol
_atom_site_fract_x
_atom_site_fract_y
_atom_site_fract_z
_atom_site_occupancy
Na1 Na 0.000 0.000 0.000 1
Na2 Na 0.250 0.250 0.000 1
Sc1 Sc 0.000 0.500 0.500 1
Sc2 Sc 0.250 0.250 0.500 1
Zn1 Zn 0.000 0.000 0.500 1
Te1 Te 0.013 0.268 0.272 1
Te2 Te 0.221 0.000 0.704 1
Te3 Te 0.242 0.500 0.722 1
```

Computed properties:
Formation energy without anion corrections ... -0.9059 eV/atom

6.
The following is a DFT calculation (PBE-GGA) of a geometry-optimized La2CeBi structure.

Cell and atoms, written as CIF:
```
data_La2CeBi
_symmetry_space_group_name_H-M 'F m -3 m'
_symmetry_Int_Tables_number 225
_symmetry_space_group_name_Hall '-F 4 2 3'
_cell_length_a 8.017
_cell_length_b 8.017
_cell_length_c 8.017
_cell_angle_alpha 90.00
_cell_angle_beta 90.00
_cell_angle_gamma 90.00
loop_
_atom_site_label
_atom_site_type_symbol
_atom_site_fract_x
_atom_site_fract_y
_atom_site_fract_z
_atom_site_occupancy
La1 La 0.250 0.250 0.250 1
Ce1 Ce 0.000 0.000 0.000 1
Bi1 Bi 0.000 0.000 0.500 1
```

Computed properties:
DFT formation energy ... -0.21 eV per atom
Energy relative to the lowest polymorph listed for this composition ... 236 meV per atom

7.
The following is a DFT calculation (PBE-GGA) of a geometry-optimized CdAgPtAu2 structure.

Cell and atoms, written as CIF:
```
data_CdAgPtAu2
_symmetry_space_group_name_H-M 'C m c m'
_symmetry_Int_Tables_number 63
_symmetry_space_group_name_Hall '-C 2c 2'
_cell_length_a 5.286
_cell_length_b 14.495
_cell_length_c 5.286
_cell_angle_alpha 90.00
_cell_angle_beta 90.00
_cell_angle_gamma 90.00
loop_
_atom_site_label
_atom_site_type_symbol
_atom_site_fract_x
_atom_site_fract_y
_atom_site_fract_z
_atom_site_occupancy
Cd1 Cd 0.000 0.159 0.250 1
Ag1 Ag 0.000 0.345 0.250 1
Pt1 Pt 0.000 0.250 0.750 1
Au1 Au 0.250 0.000 0.000 1
```

Computed properties:
DFT formation energy ... 0.16 eV per atom

8.
The following is a DFT calculation (PBE-GGA) of a geometry-optimized Ba2CaSi2O6 structure.

Cell and atoms, written as CIF:
```
data_Ba2CaSi2O6
_symmetry_space_group_name_H-M 'R -3 m'
_symmetry_Int_Tables_number 166
_symmetry_space_group_name_Hall '-R 3 2"'
_cell_length_a 5.9560
_cell_length_b 5.9560
_cell_length_c 18.2770
_cell_angle_alpha 90.00
_cell_angle_beta 90.00
_cell_angle_gamma 120.00
loop_
_atom_site_label
_atom_site_type_symbol
_atom_site_fract_x
_atom_site_fract_y
_atom_site_fract_z
_atom_site_occupancy
Ba1 Ba 0.0000 0.0000 0.2445 1
Ca1 Ca 0.0000 0.0000 0.5000 1
Si1 Si 0.0000 0.0000 0.0632 1
O1 O 0.0335 0.5167 0.7614 1
```

Computed properties:
Formation energy without anion corrections ... -2.7840 eV/atom

9.
The following is a DFT calculation (PBE-GGA) of a geometry-optimized MgNbFe3 structure.

Cell and atoms, written as CIF:
```
data_MgNbFe3
_symmetry_space_group_name_H-M 'P m -3 m'
_symmetry_Int_Tables_number 221
_symmetry_space_group_name_Hall '-P 4 2 3'
_cell_length_a 4.558
_cell_length_b 4.558
_cell_length_c 4.558
_cell_angle_alpha 90.00
_cell_angle_beta 90.00
_cell_angle_gamma 90.00
loop_
_atom_site_label
_atom_site_type_symbol
_atom_site_fract_x
_atom_site_fract_y
_atom_site_fract_z
_atom_site_occupancy
Mg1 Mg 0.000 0.000 0.000 1
Nb1 Nb 0.500 0.500 0.500 1
Fe1 Fe 0.000 0.500 0.500 1
```

Computed properties:
DFT formation energy ... 1.21 eV per atom
Energy relative to the lowest polymorph listed for this composition ... 0 meV per atom

10.
The following is a DFT calculation (PBE-GGA) of a geometry-optimized CeTmPa4 structure.

Cell and atoms, written as CIF:
```
data_CeTmPa4
_symmetry_space_group_name_H-M 'F -4 3 m'
_symmetry_Int_Tables_number 216
_symmetry_space_group_name_Hall 'F -4 2 3'
_cell_length_a 8.620
_cell_length_b 8.620
_cell_length_c 8.620
_cell_angle_alpha 90.00
_cell_angle_beta 90.00
_cell_angle_gamma 90.00
loop_
_atom_site_label
_atom_site_type_symbol
_atom_site_fract_x
_atom_site_fract_y
_atom_site_fract_z
_atom_site_occupancy
Ce1 Ce 0.000 0.000 0.000 1
Tm1 Tm 0.250 0.250 0.750 1
Pa1 Pa 0.124 0.124 0.376 1
```

Computed properties:
DFT formation energy ... 0.20 eV per atom